## HfNbVGe2 (PBE)

Data for a relaxed structure of HfNbVGe2.

For the energy of formation from the pure elements, the calculation gives 0.840 eV/atom. The magnetic moment comes out at 0.00 μB per formula unit.

Cell lengths 4.924, 4.924, 4.459 Å; angles 90.00, 90.00, 90.00 degrees
Space group P4/mmm (No. 123)
One atom of each set of equivalent atoms:
Hf: 0.000 0.000 0.000
Nb: 0.500 0.500 0.500
V: 0.500 0.500 0.000
Ge: 0.000 0.500 0.500

---

## NdHfGe2 (PBE)

Data for a relaxed structure of NdHfGe2.

The calculation puts the relative energy among the computed polymorphs at 0.0 kJ/mol of atoms. For the energy of formation from the pure elements, the calculation gives -0.661 eV/atom. The magnetic moment comes out at 0.00 μB per formula unit.

Cell lengths 4.190, 12.811, 6.534 Å; angles 90.00, 90.00, 90.00 degrees
Space group Cmcm (No. 63)
One atom of each set of equivalent atoms:
Nd: 0.000 0.050 0.250
Hf: 0.000 0.222 0.750
Ge: 0.000 0.379 0.049

---

## NdHfGe2 (PBE)

Data for a relaxed structure of NdHfGe2.

The calculation puts the relative energy among the computed polymorphs at 1.9 kJ/mol of atoms. For the energy of formation from the pure elements, the calculation gives -0.642 eV/atom. The magnetic moment comes out at 0.00 μB per formula unit.

Cell lengths 4.0405, 4.0405, 20.0864 Å; angles 90.00, 90.00, 120.00 degrees
Space group R-3m (No. 166, hexagonal axes)
One atom of each set of equivalent atoms:
Nd: 0.0000 0.0000 0.0000
Hf: 0.0000 0.0000 0.5000
Ge: 0.0000 0.0000 0.2396

---

## NdHfGe2O8 (PBE)

Data for a relaxed structure of NdHfGe2O8.

Its total DFT energy (no corrections) is -7.62 eV/atom. The magnetic moment comes out at 0.39 μB per formula unit.

Cell lengths 7.009, 7.009, 6.448 Å; angles 90.00, 90.00, 90.00 degrees
Space group I-4m2 (No. 119)
One atom of each set of equivalent atoms:
Nd: 0.000 0.000 0.000
Hf: 0.000 0.500 0.250
Ge: 0.000 0.000 0.500
Ge: 0.000 0.500 0.750
O: 0.000 0.196 0.324
O: 0.000 0.328 0.948

---

## Nd2HfGe3Pt4 (PBE)

Data for a relaxed structure of Nd2HfGe3Pt4.

For the energy of formation from the pure elements, the calculation gives -0.956 eV/atom. The magnetic moment comes out at 0.00 μB per formula unit.

Cell lengths 4.277, 4.277, 10.970 Å; angles 90.00, 90.00, 90.00 degrees
Space group P-4m2 (No. 115)
One atom of each set of equivalent atoms:
Nd: 0.000 0.500 0.229
Hf: 0.000 0.000 0.500
Ge: 0.000 0.500 0.869
Ge: 0.500 0.500 0.500
Pt: 0.000 0.000 0.000
Pt: 0.000 0.500 0.643
Pt: 0.500 0.500 0.000

---

## Nd2HfGe3Rh4 (PBE)

Data for a relaxed structure of Nd2HfGe3Rh4.

For the energy of formation from the pure elements, the calculation gives -0.897 eV/atom. The magnetic moment comes out at 0.00 μB per formula unit.

Cell lengths 4.179, 4.179, 10.943 Å; angles 90.00, 90.00, 90.00 degrees
Space group P-4m2 (No. 115)
One atom of each set of equivalent atoms:
Nd: 0.000 0.500 0.235
Hf: 0.000 0.000 0.500
Ge: 0.000 0.500 0.875
Ge: 0.500 0.500 0.500
Rh: 0.000 0.000 0.000
Rh: 0.000 0.500 0.647
Rh: 0.500 0.500 0.000

---

## HfNi2Ge2 (PBE)

Data for a relaxed structure of HfNi2Ge2.

For the energy of formation from the pure elements, the calculation gives -0.275 eV/atom. The magnetic moment comes out at 0.00 μB per formula unit.

Cell lengths 7.198, 7.198, 2.820 Å; angles 90.00, 90.00, 90.00 degrees
Space group P4/mbm (No. 127)
One atom of each set of equivalent atoms:
Hf: 0.000 0.000 0.000
Ni: 0.148 0.352 0.500
Ge: 0.145 0.645 0.000

---

## HfNiGe3 (PBE)

Data for a relaxed structure of HfNiGe3.

For the energy of formation from the pure elements, the calculation gives 1.038 eV/atom. The magnetic moment comes out at 1.22 μB per formula unit.

Cell lengths 5.107, 5.107, 5.107 Å; angles 90.00, 90.00, 90.00 degrees
Space group Pm-3m (No. 221)
One atom of each set of equivalent atoms:
Hf: 0.000 0.000 0.000
Ni: 0.500 0.500 0.500
Ge: 0.000 0.000 0.500